{
  "formula": "Si2OsRu2",
  "functional": "PBE-GGA",
  "state": "relaxed",
  "formation_energy_uncorrected_mev_per_atom": 197,
  "relative_energy_mev_per_atom": 458,
  "lattice_angstrom": [[-3.1006, -0.3904, -1.5948], [-0.6358, -2.8565, 1.9354], [-4.4158, 1.7413, 4.2996]],
  "species": ["Si", "Si", "Ru", "Ru", "Os"],
  "frac_coords": [[0.2500, 0.7500, 0.5000], [0.7500, 0.2500, 0.5000], [0.3909, 0.3909, 0.2182], [0.6091, 0.6091, 0.7818], [0.0000, 0.0000, 0.0000]]
}


{
  "formula": "TbBN",
  "functional": "PBE-GGA",
  "state": "relaxed",
  "formation_energy_uncorrected_mev_per_atom": -1096,
  "relative_energy_mev_per_atom": 142,
  "lattice_angstrom": [[3.5461, -0.0203, -0.2546], [-0.0375, 3.5459, -0.2546], [-2.1729, -2.1835, 6.4856]],
  "species": ["B", "B", "Tb", "Tb", "N", "N"],
  "frac_coords": [[0.4652, 0.4652, 0.5969], [0.5348, 0.5348, 0.4031], [0.9071, 0.9071, 0.2134], [0.0929, 0.0929, 0.7866], [0.3799, 0.3799, 0.1717], [0.6201, 0.6201, 0.8283]]
}


{
  "formula": "La2Tm2Sb5",
  "functional": "PBE-GGA",
  "state": "relaxed",
  "formation_energy_uncorrected_mev_per_atom": -899,
  "lattice_angstrom": [[-3.5630, -7.4406, 0.1950], [4.8646, -2.5184, -7.2098], [2.3982, -0.9209, 8.6826]],
  "species": ["La", "La", "La", "La", "Sb", "Sb", "Sb", "Sb", "Sb", "Sb", "Sb", "Sb", "Sb", "Sb", "Tm", "Tm", "Tm", "Tm"],
  "frac_coords": [[0.0000, 0.1917, 0.8083], [0.0000, 0.8083, 0.1917], [0.5000, 0.3083, 0.6917], [0.5000, 0.6917, 0.3083], [0.8582, 0.7731, 0.5107], [0.3582, 0.9893, 0.7269], [0.0000, 0.0000, 0.0000], [0.8582, 0.5107, 0.7731], [0.1418, 0.4893, 0.2269], [0.1418, 0.2269, 0.4893], [0.5000, 0.5000, 0.5000], [0.6418, 0.2731, 0.0107], [0.6418, 0.0107, 0.2731], [0.3582, 0.7269, 0.9893], [0.3417, 0.1558, 0.1558], [0.1583, 0.6558, 0.6558], [0.8417, 0.3442, 0.3442], [0.6583, 0.8442, 0.8442]]
}


{
  "formula": "Pu6NpPd5",
  "functional": "PBE-GGA",
  "state": "relaxed",
  "delta_e_f_ev_per_atom": -0.228,
  "lattice_angstrom": [[4.9800, -0.2383, 0.6167], [0.0190, 6.4552, 2.5135], [0.8849, 0.3423, 8.0670]],
  "species": ["Pd", "Pd", "Pd", "Pd", "Pd", "Np", "Pu", "Pu", "Pu", "Pu", "Pu", "Pu"],
  "frac_coords": [[0.3810, 0.8321, 0.3393], [0.0000, 0.5000, 0.0000], [0.6146, 0.6741, 0.6628], [0.6190, 0.1679, 0.6607], [0.3854, 0.3259, 0.3372], [0.0000, 0.0000, 0.0000], [0.1254, 0.4198, 0.6661], [0.8746, 0.5802, 0.3339], [0.5024, 0.2480, 0.9998], [0.8868, 0.0750, 0.3248], [0.1132, 0.9250, 0.6752], [0.4976, 0.7520, 0.0002]]
}